[1]
First-principles (PBE-GGA) data for crystalline BaH at its relaxed geometry, as listed in Alexandria via LeMat-Bulk.

Cell and atoms, written as POSCAR:
```
BaH
1.0
-0.0797 4.0181 -1.7093
-4.1643 -2.0972 -4.7358
-6.7722 2.0186 5.0610
H Ba
4 4
direct
0.7500 0.4766 0.8692 H
0.2500 0.5234 0.1308 H
0.7500 0.0234 0.3692 H
0.2500 0.9766 0.6308 H
0.7500 0.1997 0.6463 Ba
0.2500 0.8003 0.3537 Ba
0.7500 0.3003 0.1463 Ba
0.2500 0.6997 0.8537 Ba
```

relative energy among the computed polymorphs	23	meV per atom
space group	No. 62
magnetic moment	0.00	μB per formula unit
uncorrected energy	-23.84	eV for the cell shown

[2]
First-principles (PBE-GGA) data for crystalline BaH at its relaxed geometry, as listed in Alexandria via LeMat-Bulk.

Cell and atoms, written as POSCAR:
```
BaH
1.0
11.0836 0.0000 0.0000
0.0000 11.0836 0.0000
0.0000 0.0000 4.4186
Ba H
8 8
direct
0.0711 0.3182 0.0000 Ba
0.3182 0.9289 0.0000 Ba
0.6818 0.0711 0.0000 Ba
0.2473 0.5874 0.5000 Ba
0.7527 0.4126 0.5000 Ba
0.4126 0.2473 0.5000 Ba
0.5874 0.7527 0.5000 Ba
0.9289 0.6818 0.0000 Ba
0.8721 0.4502 0.0000 H
0.4502 0.1279 0.0000 H
0.6450 0.1974 0.5000 H
0.1974 0.3550 0.5000 H
0.1279 0.5498 0.0000 H
0.3550 0.8026 0.5000 H
0.5498 0.8721 0.0000 H
0.8026 0.6450 0.5000 H
```

relative energy among the computed polymorphs	77	meV per atom
space group	No. 83
magnetic moment	0.11	μB per formula unit
uncorrected energy	-46.81	eV for the cell shown

[3]
First-principles (PBE-GGA) data for crystalline BaH2 at its relaxed geometry, as listed in Alexandria via LeMat-Bulk.

Cell and atoms, written as POSCAR:
```
BaH2
1.0
-3.0315 -0.4787 2.7906
0.7637 -6.7456 -0.3276
5.2765 0.3164 5.7863
H Ba
8 4
direct
0.2500 0.5283 0.6807 H
0.7500 0.9717 0.1807 H
0.7500 0.4717 0.3193 H
0.2500 0.1451 0.4285 H
0.7500 0.3549 0.9285 H
0.7500 0.8549 0.5715 H
0.2500 0.6451 0.0715 H
0.2500 0.0283 0.8193 H
0.2500 0.2603 0.1127 Ba
0.2500 0.7603 0.3873 Ba
0.7500 0.7397 0.8873 Ba
0.7500 0.2397 0.6127 Ba
```

space group	No. 62
magnetic moment	0.00	μB per formula unit
uncorrected energy	-40.65	eV for the cell shown

[4]
First-principles (PBE-GGA) data for crystalline BaH at its relaxed geometry, as listed in Alexandria via LeMat-Bulk.

Cell and atoms, written as POSCAR:
```
BaH
1.0
-6.9460 -1.0582 4.1597
1.8356 -7.8853 1.0592
3.8799 1.8362 6.9458
Ba H
8 8
direct
0.6827 0.3173 0.6827 Ba
0.1827 0.1827 0.8173 Ba
0.6827 0.6827 0.3173 Ba
0.8173 0.8173 0.8173 Ba
0.8173 0.1827 0.1827 Ba
0.3173 0.3173 0.3173 Ba
0.3173 0.6827 0.6827 Ba
0.1827 0.8173 0.1827 Ba
0.3681 0.3681 0.6319 H
0.8681 0.8681 0.1319 H
0.6319 0.6319 0.6319 H
0.1319 0.8681 0.8681 H
0.6319 0.3681 0.3681 H
0.1319 0.1319 0.1319 H
0.8681 0.1319 0.8681 H
0.3681 0.6319 0.3681 H
```

relative energy among the computed polymorphs	26	meV per atom
space group	No. 217
magnetic moment	0.41	μB per formula unit
uncorrected energy	-47.63	eV for the cell shown

[5]
First-principles (PBE-GGA) data for crystalline BaH at its relaxed geometry, as listed in Alexandria via LeMat-Bulk.

Cell and atoms, written as POSCAR:
```
BaH
1.0
-0.9747 4.2407 0.5834
-3.1314 -2.8242 -1.2216
-1.4814 -1.2654 6.7230
Ba H
2 2
direct
0.3333 0.6667 0.6975 Ba
0.6667 0.3333 0.2551 Ba
0.0000 0.0000 0.4963 H
0.3333 0.6667 0.3200 H
```

relative energy among the computed polymorphs	28	meV per atom
space group	No. 156
magnetic moment	0.02	μB per formula unit
uncorrected energy	-11.90	eV for the cell shown

[6]
First-principles (PBE-GGA) data for crystalline BaH at its relaxed geometry, as listed in Alexandria via LeMat-Bulk.

Cell and atoms, written as POSCAR:
```
BaH
1.0
4.1156 0.0000 0.0000
0.0000 11.8856 0.0000
0.0000 0.0000 6.9036
Ba H
6 6
direct
0.5000 0.5000 0.2558 Ba
0.0000 0.1725 0.2930 Ba
0.0000 0.8275 0.2930 Ba
0.5000 0.0000 0.7558 Ba
0.0000 0.6725 0.7930 Ba
0.0000 0.3275 0.7930 Ba
0.0000 0.5000 0.0227 H
0.5000 0.2170 0.5688 H
0.0000 0.0000 0.5227 H
0.5000 0.2830 0.0688 H
0.5000 0.7830 0.5688 H
0.5000 0.7170 0.0688 H
```

relative energy among the computed polymorphs	58	meV per atom
space group	No. 38
magnetic moment	0.13	μB per formula unit
uncorrected energy	-35.34	eV for the cell shown

[7]
First-principles (PBE-GGA) data for crystalline BaH at its relaxed geometry, as listed in Alexandria via LeMat-Bulk.

Cell and atoms, written as POSCAR:
```
BaH
1.0
7.4602 0.0000 0.0000
0.0000 7.4602 0.0000
0.0000 0.0000 7.4602
H Ba
6 6
direct
0.7500 0.5000 0.0000 H
0.5000 0.0000 0.7500 H
0.0000 0.7500 0.5000 H
0.2500 0.5000 0.0000 H
0.5000 0.0000 0.2500 H
0.0000 0.2500 0.5000 H
0.7500 0.0000 0.5000 Ba
0.0000 0.5000 0.7500 Ba
0.0000 0.5000 0.2500 Ba
0.2500 0.0000 0.5000 Ba
0.5000 0.7500 0.0000 Ba
0.5000 0.2500 0.0000 Ba
```

relative energy among the computed polymorphs	142	meV per atom
space group	No. 223
magnetic moment	0.32	μB per formula unit
uncorrected energy	-34.33	eV for the cell shown

[8]
First-principles (PBE-GGA) data for crystalline BaH2 at its relaxed geometry, as listed in Alexandria via LeMat-Bulk.

Cell and atoms, written as POSCAR:
```
BaH2
1.0
4.4387 0.0000 0.0000
-2.2194 3.8440 0.0000
0.0000 0.0000 5.9909
H Ba
4 2
direct
0.0000 0.0000 0.5000 H
0.6667 0.3333 0.2500 H
0.3333 0.6667 0.7500 H
0.0000 0.0000 0.0000 H
0.3333 0.6667 0.2500 Ba
0.6667 0.3333 0.7500 Ba
```

space group	No. 194
magnetic moment	0.00	μB per formula unit
uncorrected energy	-20.16	eV for the cell shown

Copy entry 3 word for word.
First-principles (PBE-GGA) data for crystalline BaH2 at its relaxed geometry, as listed in Alexandria via LeMat-Bulk.

Cell and atoms, written as POSCAR:
```
BaH2
1.0
-3.0315 -0.4787 2.7906
0.7637 -6.7456 -0.3276
5.2765 0.3164 5.7863
H Ba
8 4
direct
0.2500 0.5283 0.6807 H
0.7500 0.9717 0.1807 H
0.7500 0.4717 0.3193 H
0.2500 0.1451 0.4285 H
0.7500 0.3549 0.9285 H
0.7500 0.8549 0.5715 H
0.2500 0.6451 0.0715 H
0.2500 0.0283 0.8193 H
0.2500 0.2603 0.1127 Ba
0.2500 0.7603 0.3873 Ba
0.7500 0.7397 0.8873 Ba
0.7500 0.2397 0.6127 Ba
```

space group	No. 62
magnetic moment	0.00	μB per formula unit
uncorrected energy	-40.65	eV for the cell shown